DFT (PBE) results for an optimized crystal structure of PmHo2Tm9.

a b c (Å): 4.9599 4.9599 14.8771
angles (deg): 90.00 90.00 90.00
Closest atoms and distances in Å follow each position.
Space group P4/mmm (No. 123)
Symmetry-distinct sites (fractional):
Pm (0.0000, 0.0000, 0.0000) [1 per cell]  12 Tm 3.51-3.53
Ho (0.0000, 0.0000, 0.3339) [2 per cell]  12 Tm 3.49-3.51
Tm (0.0000, 0.5000, 0.1685) [4 per cell]  2 Ho 3.49, 8 Tm 3.50-3.53, 2 Pm 3.53
Tm (0.0000, 0.5000, 0.5000) [2 per cell]  8 Tm 3.49-3.51, 4 Ho 3.50
Tm (0.5000, 0.5000, 0.0000) [1 per cell]  4 Pm 3.51, 8 Tm 3.53
Tm (0.5000, 0.5000, 0.3346) [2 per cell]  8 Tm 3.49-3.50, 4 Ho 3.51

## Properties
ΔE to the lowest computed polymorph = 0.000 eV per atom
ΔE_f = 0.03 eV per atom
Total energy = -0.3297 Ry/atom